The following is a DFT calculation (PBE) of Ca3SeN after structural relaxation.

Calculated values
Energy, eV for the cell shown: -23.154
Energy relative to the lowest polymorph listed for this composition, meV per atom: 36

a = 4.8276 Å, b = 4.8276 Å, c = 4.8276 Å
α = 90.00°, β = 90.00°, γ = 90.00°
Closest atoms and distances in Å follow each position.
Fractional positions:
Ca 0.0000 0.5000 0.0000  2 N 2.41
Ca 0.0000 0.0000 0.5000  2 N 2.41
Ca 0.5000 0.0000 0.0000  2 N 2.41
Se 0.5000 0.5000 0.5000  12 Ca 3.41
N 0.0000 0.0000 0.0000  6 Ca 2.41

The following is a DFT calculation (PBE) of Ca4SeN4 after structural relaxation.

Calculated values
Energy, eV for the cell shown: -99.635
Energy relative to the lowest polymorph listed for this composition, meV per atom: 350

a = 6.3161 Å, b = 6.3584 Å, c = 8.9164 Å
α = 69.69°, β = 82.73°, γ = 71.11°
Closest atoms and distances in Å follow each position.
Fractional positions:
Ca 0.4016 0.1764 0.8366  1 N 2.24
Ca 0.5984 0.8236 0.1634  1 N 2.24
Ca 0.7930 0.2949 0.0000  2 N 2.30
Ca 0.2070 0.7051 0.0000  2 N 2.30
Ca 0.5088 0.2901 0.4222  3 N 2.33-2.54
Ca 0.4912 0.7099 0.5778  3 N 2.33-2.54
Ca 0.0147 0.7634 0.4248  3 N 2.33-2.54
Ca 0.9853 0.2366 0.5752  3 N 2.33-2.54
Se 0.1932 0.2012 0.2041  3 N 1.77-1.84
Se 0.8068 0.7988 0.7959  3 N 1.77-1.84
N 0.2446 0.0489 0.4104  1 Se 1.77
N 0.7554 0.9511 0.5896  1 Se 1.77
N 0.1733 0.9833 0.1186  1 Se 1.84
N 0.8267 0.0167 0.8814  1 Se 1.84
N 0.4522 0.2714 0.1182  1 Se 1.84
N 0.5478 0.7286 0.8818  1 Se 1.84
N 0.2591 0.4385 0.6025  3 Ca 2.24-2.33
N 0.7409 0.5615 0.3975  3 Ca 2.24-2.33

The following is a DFT calculation (PBE) of CaSiSe2N after structural relaxation.

Calculated values
Energy, eV for the cell shown: -18.372
Energy relative to the lowest polymorph listed for this composition, meV per atom: 1399

a = 5.4821 Å, b = 5.4821 Å, c = 4.4430 Å
α = 90.00°, β = 90.00°, γ = 90.00°
Closest atoms and distances in Å follow each position.
Fractional positions:
Ca 0.0000 0.0000 0.0000  2 N 2.22
Si 0.5000 0.5000 0.5000  8 Se 3.53, 4 N 3.88
Se 0.0000 0.5000 0.0000  2 Ca 2.74
Se 0.5000 0.0000 0.0000  2 Ca 2.74
N 0.0000 0.0000 0.5000  2 Ca 2.22

The following is a DFT calculation (PBE) of CaSi2SeN after structural relaxation.

Calculated values
Energy, eV for the cell shown: -18.088

a = 4.7111 Å, b = 5.4939 Å, c = 4.7111 Å
α = 90.00°, β = 90.00°, γ = 90.00°
Closest atoms and distances in Å follow each position.
Fractional positions:
Ca 0.0000 0.5000 0.0000  2 Se 2.75
Si 0.0000 0.0000 0.5000  2 Se 2.36
Si 0.5000 0.0000 0.0000  2 Se 2.36
Se 0.0000 0.0000 0.0000  4 Si 2.36
N 0.5000 0.5000 0.5000  4 Ca 3.33, 8 Si 3.62

The following is a DFT calculation (PBE) of CaSiSe2N after structural relaxation.

Calculated values
Energy, eV for the cell shown: -25.367
Energy relative to the lowest polymorph listed for this composition, meV per atom: 0

a = 5.2636 Å, b = 5.2636 Å, c = 3.3610 Å
α = 90.00°, β = 90.00°, γ = 90.00°
Closest atoms and distances in Å follow each position.
Fractional positions:
Ca 0.5000 0.5000 0.5000  8 Se 3.12, 2 Ca 3.36
Si 0.0000 0.0000 0.0000  2 N 1.68
Se 0.0000 0.5000 0.0000  2 Si 2.63
Se 0.5000 0.0000 0.0000  2 Si 2.63
N 0.0000 0.0000 0.5000  2 Si 1.68

The following is a DFT calculation (PBE) of SrCaSe2N after structural relaxation.

Calculated values
Energy, eV for the cell shown: -19.483
Energy relative to the lowest polymorph listed for this composition, meV per atom: 338

a = 5.7573 Å, b = 5.7573 Å, c = 4.7745 Å
α = 90.00°, β = 90.00°, γ = 90.00°
Closest atoms and distances in Å follow each position.
Fractional positions:
Sr 0.0000 0.0000 0.0000  2 N 2.39
Ca 0.5000 0.5000 0.5000  8 Se 3.74, 4 N 4.07
Se 0.0000 0.5000 0.0000  2 Sr 2.88
Se 0.5000 0.0000 0.0000  2 Sr 2.88
N 0.0000 0.0000 0.5000  2 Sr 2.39

The following is a DFT calculation (PBE) of SrCaSe2N after structural relaxation.

Calculated values
Energy, eV for the cell shown: -21.172
Energy relative to the lowest polymorph listed for this composition, meV per atom: 0

a = 5.5392 Å, b = 5.5392 Å, c = 4.5957 Å
α = 90.00°, β = 90.00°, γ = 90.00°
Closest atoms and distances in Å follow each position.
Fractional positions:
Sr 0.5000 0.5000 0.5000  8 Se 3.60, 4 N 3.92
Ca 0.0000 0.0000 0.0000  2 N 2.30
Se 0.0000 0.5000 0.0000  2 Ca 2.77
Se 0.5000 0.0000 0.0000  2 Ca 2.77
N 0.0000 0.0000 0.5000  2 Ca 2.30

The following is a DFT calculation (PBE) of CaTaSeN2 after structural relaxation.

Calculated values
Energy, eV for the cell shown: -25.580
Energy relative to the lowest polymorph listed for this composition, meV per atom: 2373

a = 4.1151 Å, b = 4.1151 Å, c = 5.2344 Å
α = 90.00°, β = 90.00°, γ = 90.00°
Closest atoms and distances in Å follow each position.
Fractional positions:
Ca 0.0000 0.0000 0.0000  4 N 2.06
N 0.0000 0.5000 0.0000  2 Ca 2.06
N 0.5000 0.0000 0.0000  2 Ca 2.06
Se 0.0000 0.0000 0.5000  2 Ca 2.62, 4 Ta 2.91
Ta 0.5000 0.5000 0.5000  4 Se 2.91

The following is a DFT calculation (PBE) of CaTaSeN2 after structural relaxation.

Calculated values
Energy, eV for the cell shown: -37.443
Energy relative to the lowest polymorph listed for this composition, meV per atom: 0

a = 4.0738 Å, b = 4.0738 Å, c = 5.3421 Å
α = 90.00°, β = 90.00°, γ = 90.00°
Closest atoms and distances in Å follow each position.
Fractional positions:
Ca 0.5000 0.5000 0.5000  4 Se 2.88
N 0.0000 0.5000 0.0000  2 Ta 2.04
N 0.5000 0.0000 0.0000  2 Ta 2.04
Se 0.0000 0.0000 0.5000  2 Ta 2.67, 4 Ca 2.88
Ta 0.0000 0.0000 0.0000  4 N 2.04

The following is a DFT calculation (PBE) of CaTcSe2N after structural relaxation.

Calculated values
Energy, eV for the cell shown: -30.132
Energy relative to the lowest polymorph listed for this composition, meV per atom: 0

a = 5.1744 Å, b = 5.1744 Å, c = 3.7641 Å
α = 90.00°, β = 90.00°, γ = 90.00°
Closest atoms and distances in Å follow each position.
Fractional positions:
Ca 0.5000 0.5000 0.5000  8 Se 3.20
Tc 0.0000 0.0000 0.0000  2 N 1.88
Se 0.0000 0.5000 0.0000  2 Tc 2.59
Se 0.5000 0.0000 0.0000  2 Tc 2.59
N 0.0000 0.0000 0.5000  2 Tc 1.88

The following is a DFT calculation (PBE) of CaTcSeN2 after structural relaxation.

Calculated values
Energy, eV for the cell shown: -23.567
Energy relative to the lowest polymorph listed for this composition, meV per atom: 2009

a = 4.3835 Å, b = 4.3835 Å, c = 5.9064 Å
α = 90.00°, β = 90.00°, γ = 90.00°
Closest atoms and distances in Å follow each position.
Fractional positions:
Ca 0.0000 0.0000 0.0000  4 N 2.19
Tc 0.5000 0.5000 0.5000  4 Se 3.10
Se 0.0000 0.0000 0.5000  2 Ca 2.95, 4 Tc 3.10
N 0.0000 0.5000 0.0000  2 Ca 2.19
N 0.5000 0.0000 0.0000  2 Ca 2.19

The following is a DFT calculation (PBE) of CaTcSeN2 after structural relaxation.

Calculated values
Energy, eV for the cell shown: -31.640
Energy relative to the lowest polymorph listed for this composition, meV per atom: 394

a = 3.8646 Å, b = 8.0859 Å, c = 3.8646 Å
α = 90.00°, β = 90.00°, γ = 90.00°
Closest atoms and distances in Å follow each position.
Fractional positions:
Ca 0.0000 0.5000 0.0000  4 Se 2.73
Tc 0.0000 0.0000 0.0000  4 N 1.93
Se 0.5000 0.5000 0.5000  4 Ca 2.73
N 0.0000 0.0000 0.5000  2 Tc 1.93
N 0.5000 0.0000 0.0000  2 Tc 1.93

The following is a DFT calculation (PBE) of CaTcSe2N after structural relaxation.

Calculated values
Energy, eV for the cell shown: -21.931
Energy relative to the lowest polymorph listed for this composition, meV per atom: 1640

a = 5.4475 Å, b = 5.4475 Å, c = 4.4057 Å
α = 90.00°, β = 90.00°, γ = 90.00°
Closest atoms and distances in Å follow each position.
Fractional positions:
Ca 0.0000 0.0000 0.0000  2 N 2.20
Tc 0.5000 0.5000 0.5000  8 Se 3.50, 4 N 3.85
Se 0.0000 0.5000 0.0000  2 Ca 2.72
Se 0.5000 0.0000 0.0000  2 Ca 2.72
N 0.0000 0.0000 0.5000  2 Ca 2.20

The following is a DFT calculation (PBE) of CaTcSeN2 after structural relaxation.

Calculated values
Energy, eV for the cell shown: -33.610
Energy relative to the lowest polymorph listed for this composition, meV per atom: 0

a = 3.9245 Å, b = 3.9245 Å, c = 5.3936 Å
α = 90.00°, β = 90.00°, γ = 90.00°
Closest atoms and distances in Å follow each position.
Fractional positions:
Ca 0.5000 0.5000 0.5000  4 Se 2.78
Tc 0.0000 0.0000 0.0000  4 N 1.96
Se 0.0000 0.0000 0.5000  2 Tc 2.70, 4 Ca 2.78
N 0.0000 0.5000 0.0000  2 Tc 1.96
N 0.5000 0.0000 0.0000  2 Tc 1.96

The following is a DFT calculation (PBE) of CaTeSeN2 after structural relaxation.

Calculated values
Energy, eV for the cell shown: -20.569
Energy relative to the lowest polymorph listed for this composition, meV per atom: 499

a = 4.2013 Å, b = 4.2013 Å, c = 5.6738 Å
α = 90.00°, β = 90.00°, γ = 90.00°
Closest atoms and distances in Å follow each position.
Fractional positions:
Ca 0.5000 0.5000 0.5000  4 Te 2.97
Te 0.0000 0.0000 0.5000  2 Se 2.84, 4 Ca 2.97
Se 0.0000 0.0000 0.0000  4 N 2.10
N 0.0000 0.5000 0.0000  2 Se 2.10
N 0.5000 0.0000 0.0000  2 Se 2.10

The following is a DFT calculation (PBE) of CaTeSeN2 after structural relaxation.

Calculated values
Energy, eV for the cell shown: -18.181
Energy relative to the lowest polymorph listed for this composition, meV per atom: 976

a = 4.4974 Å, b = 4.4974 Å, c = 5.8608 Å
α = 90.00°, β = 90.00°, γ = 90.00°
Closest atoms and distances in Å follow each position.
Fractional positions:
Ca 0.0000 0.0000 0.0000  4 N 2.25
Te 0.5000 0.5000 0.5000  4 Se 3.18
Se 0.0000 0.0000 0.5000  2 Ca 2.93, 4 Te 3.18
N 0.0000 0.5000 0.0000  2 Ca 2.25
N 0.5000 0.0000 0.0000  2 Ca 2.25

The following is a DFT calculation (PBE) of CaTe2SeN after structural relaxation.

Calculated values
Energy, eV for the cell shown: -15.493
Energy relative to the lowest polymorph listed for this composition, meV per atom: 708

a = 5.8556 Å, b = 5.8556 Å, c = 4.1712 Å
α = 90.00°, β = 90.00°, γ = 90.00°
Closest atoms and distances in Å follow each position.
Fractional positions:
Ca 0.0000 0.0000 0.0000  2 N 2.09
Te 0.0000 0.5000 0.0000  2 Ca 2.93
Te 0.5000 0.0000 0.0000  2 Ca 2.93
Se 0.5000 0.5000 0.5000  8 Te 3.59
N 0.0000 0.0000 0.5000  2 Ca 2.09

The following is a DFT calculation (PBE) of CaTeSeN2 after structural relaxation.

Calculated values
Energy, eV for the cell shown: -23.063
Energy relative to the lowest polymorph listed for this composition, meV per atom: 0

a = 4.1080 Å, b = 4.1080 Å, c = 5.6465 Å
α = 90.00°, β = 90.00°, γ = 90.00°
Closest atoms and distances in Å follow each position.
Fractional positions:
Ca 0.5000 0.5000 0.5000  4 Se 2.90
Te 0.0000 0.0000 0.0000  4 N 2.05
Se 0.0000 0.0000 0.5000  2 Te 2.82, 4 Ca 2.90
N 0.0000 0.5000 0.0000  2 Te 2.05
N 0.5000 0.0000 0.0000  2 Te 2.05

The following is a DFT calculation (PBE) of CaTe2SeN after structural relaxation.

Calculated values
Energy, eV for the cell shown: -19.030
Energy relative to the lowest polymorph listed for this composition, meV per atom: 0

a = 5.8372 Å, b = 5.8372 Å, c = 3.7456 Å
α = 90.00°, β = 90.00°, γ = 90.00°
Closest atoms and distances in Å follow each position.
Fractional positions:
Ca 0.5000 0.5000 0.5000  8 Te 3.47, 2 Ca 3.75
Te 0.0000 0.5000 0.0000  2 Se 2.92
Te 0.5000 0.0000 0.0000  2 Se 2.92
Se 0.0000 0.0000 0.0000  2 N 1.87
N 0.0000 0.0000 0.5000  2 Se 1.87

The following is a DFT calculation (PBE) of CaTeSeN2 after structural relaxation.

Calculated values
Energy, eV for the cell shown: -18.899
Energy relative to the lowest polymorph listed for this composition, meV per atom: 833

a = 4.4953 Å, b = 4.4953 Å, c = 6.6290 Å
α = 90.00°, β = 90.00°, γ = 90.00°
Closest atoms and distances in Å follow each position.
Fractional positions:
Ca 0.0000 0.0000 0.0000  4 N 2.25
Te 0.0000 0.0000 0.5000  4 Se 3.18, 2 Ca 3.31
Se 0.5000 0.5000 0.5000  4 Te 3.18
N 0.0000 0.5000 0.0000  2 Ca 2.25
N 0.5000 0.0000 0.0000  2 Ca 2.25